# RbSiRuAu2, PBEsol geometry, DFT meta-GGA SCAN
data_RbSiRuAu2
_chemical_formula_sum 'Rb1 Si1 Ru1 Au2'
_space_group_name_H-M_alt 'P 4/m m m'
_space_group_IT_number 123
_space_group_name_Hall '-P 4 2'
_cell_length_a 5.3615
_cell_length_b 5.3615
_cell_length_c 4.7574
_cell_angle_alpha 90.00
_cell_angle_beta 90.00
_cell_angle_gamma 90.00
loop_
_atom_site_label
_atom_site_fract_x
_atom_site_fract_y
_atom_site_fract_z
Rb1 0.0000 0.0000 0.0000
Si1 0.5000 0.5000 0.5000
Ru1 0.0000 0.0000 0.5000
Au1 0.0000 0.5000 0.0000
# - N(E_F) (states/eV/atom) = 0.578
# - final energy (eV/atom) = -38.40
# - E_form (uncorrected) (meV/atom) = 2381

---

# TmSn2, PBEsol geometry, DFT meta-GGA SCAN
data_TmSn2
_chemical_formula_sum 'Tm4 Sn8'
_space_group_name_H-M_alt 'C m c m'
_space_group_IT_number 63
_space_group_name_Hall '-C 2c 2'
_cell_length_a 4.3304
_cell_length_b 15.8622
_cell_length_c 4.2621
_cell_angle_alpha 90.00
_cell_angle_beta 90.00
_cell_angle_gamma 90.00
loop_
_atom_site_label
_atom_site_fract_x
_atom_site_fract_y
_atom_site_fract_z
Tm1 0.0000 0.0976 0.2500
Sn1 0.0000 0.2509 0.7500
Sn2 0.0000 0.4348 0.2500
# - calculated formation energy (meV/atom) = -615
# - N(E_F) (states/eV/atom) = 0.431
# - final energy (eV/atom) = -41.84

---

# Sc2CdCo, PBEsol geometry, DFT meta-GGA SCAN
data_Sc2CdCo
_chemical_formula_sum 'Sc2 Cd1 Co1'
_space_group_name_H-M_alt 'P 4/m m m'
_space_group_IT_number 123
_space_group_name_Hall '-P 4 2'
_cell_length_a 4.6216
_cell_length_b 4.6216
_cell_length_c 3.3438
_cell_angle_alpha 90.00
_cell_angle_beta 90.00
_cell_angle_gamma 90.00
loop_
_atom_site_label
_atom_site_fract_x
_atom_site_fract_y
_atom_site_fract_z
Sc1 0.0000 0.5000 0.0000
Cd1 0.0000 0.0000 0.5000
Co1 0.5000 0.5000 0.5000
# - calculated formation energy (meV/atom) = -313
# - N(E_F) (states/eV/atom) = 0.674
# - final energy (eV/atom) = -19.36

---

# Ta4AgS8, PBEsol geometry, DFT meta-GGA SCAN
data_Ta4AgS8
_chemical_formula_sum 'Ta8 Ag2 S16'
_space_group_name_H-M_alt 'P -1'
_space_group_IT_number 2
_cell_length_a 5.7360
_cell_length_b 6.6236
_cell_length_c 13.1185
_cell_angle_alpha 97.25
_cell_angle_beta 94.47
_cell_angle_gamma 90.00
loop_
_space_group_symop_operation_xyz
'x,y,z'
'-x,-y,-z'
loop_
_atom_site_label
_atom_site_fract_x
_atom_site_fract_y
_atom_site_fract_z
Ta1 0.2042 0.0655 0.2725
Ta2 0.2042 0.5710 0.2725
Ta3 0.2828 0.6817 0.7268
Ta4 0.2854 0.1825 0.7309
Ag1 0.3376 0.2433 0.9735
S1 0.1044 0.9046 0.6089
S2 0.1045 0.3997 0.6088
S3 0.1412 0.4709 0.8506
S4 0.1412 0.9542 0.8507
S5 0.3460 0.7879 0.1513
S6 0.3586 0.2889 0.1551
S7 0.3976 0.3472 0.3884
S8 0.4026 0.8473 0.3889
# - N(E_F) (states/eV/atom) = 0.496
# - final energy (eV/atom) = -29.88
# - E_form (uncorrected) (meV/atom) = -1054

---

# FePt5, PBEsol geometry, DFT meta-GGA SCAN
data_FePt5
_chemical_formula_sum 'Fe2 Pt10'
_space_group_name_H-M_alt 'A m m 2'
_space_group_IT_number 38
_cell_length_a 4.5403
_cell_length_b 2.7272
_cell_length_c 14.1561
_cell_angle_alpha 90.00
_cell_angle_beta 90.00
_cell_angle_gamma 90.00
loop_
_space_group_symop_operation_xyz
'x,y,z'
'-x,-y,z'
'-x,y,z'
'x,-y,z'
'x,y+1/2,z+1/2'
'-x,-y+1/2,z+1/2'
'-x,y+1/2,z+1/2'
'x,-y+1/2,z+1/2'
loop_
_atom_site_label
_atom_site_fract_x
_atom_site_fract_y
_atom_site_fract_z
Fe1 0.0000 0.0000 0.0000
Pt1 0.0000 0.0000 0.3383
Pt2 0.0000 0.0000 0.6596
Pt3 0.5000 0.0000 0.1098
Pt4 0.5000 0.0000 0.4456
Pt5 0.5000 0.0000 0.7772
# - calculated formation energy (meV/atom) = -133
# - N(E_F) (states/eV/atom) = 0.913
# - final energy (eV/atom) = -61.65

---

# TlTeAsI2, PBEsol geometry, DFT meta-GGA SCAN
data_TlTeAsI2
_chemical_formula_sum 'Tl1 Te1 As1 I2'
_space_group_name_H-M_alt 'P 4/m m m'
_space_group_IT_number 123
_space_group_name_Hall '-P 4 2'
_cell_length_a 5.7972
_cell_length_b 5.7972
_cell_length_c 5.9097
_cell_angle_alpha 90.00
_cell_angle_beta 90.00
_cell_angle_gamma 90.00
loop_
_atom_site_label
_atom_site_fract_x
_atom_site_fract_y
_atom_site_fract_z
Tl1 0.0000 0.0000 0.0000
Te1 0.0000 0.0000 0.5000
As1 0.5000 0.5000 0.5000
I1 0.0000 0.5000 0.0000
# - N(E_F) (states/eV/atom) = 0.439
# - final energy (eV/atom) = -40.01
# - E_form (uncorrected) (meV/atom) = 650